Record 1
Here is LiSiPtAu after structural relaxation from Alexandria via LeMat-Bulk. Energies are from PBE.

abc: 4.317 4.317 4.317
angles: 60.00 60.00 60.00
Sites, in units of the cell vectors:
Li (0.000, 0.000, 0.000)
Si (0.500, 0.500, 0.500)
Pt (0.250, 0.250, 0.250)
Au (0.750, 0.750, 0.750)

Calculated values
ΔE_f (raw)   -0.4455 eV per atom
Symmetry   No. 216

---

Record 2
Here is LiGa3Ni3 after structural relaxation from Alexandria via LeMat-Bulk. Energies are from PBE.

abc: 6.511 6.511 6.511
angles: 90.00 90.00 90.00
Sites, in units of the cell vectors:
Li (0.000, 0.000, 0.000)
Li (0.500, 0.500, 0.500)
Ga (0.000, 0.250, 0.500)
Ga (0.000, 0.750, 0.500)
Ga (0.250, 0.500, 0.000)
Ga (0.500, 0.000, 0.250)
Ga (0.500, 0.000, 0.750)
Ga (0.750, 0.500, 0.000)
Ni (0.000, 0.500, 0.250)
Ni (0.000, 0.500, 0.750)
Ni (0.250, 0.000, 0.500)
Ni (0.500, 0.250, 0.000)
Ni (0.500, 0.750, 0.000)
Ni (0.750, 0.000, 0.500)

Calculated values
Excess energy over the best structure of this formula in the dataset   460 meV/atom
Symmetry   No. 223